Density functional theory data (PBE) for crystalline LaPm4Nd7 at its relaxed geometry.

Calculated values
VASP energy	-4.768	eV/atom
E above lowest polymorph	0.0	meV/atom
space-group type	P-1

Cell lengths 7.4236, 6.4193, 11.7864 Å; angles 79.52, 50.91, 89.99 degrees
Last column: nearest neighbours and their distance in Å.
Fractional positions:
Pm1 0.1672 0.2210 0.3327  8 Nd 3.65-3.71, 4 Pm 3.65-3.71
Pm2 0.8328 0.7790 0.6673  8 Nd 3.65-3.71, 4 Pm 3.65-3.71
Pm3 0.5847 0.2776 0.6669  8 Nd 3.65-3.73, 3 Pm 3.66-3.71, 1 La 3.66
Pm4 0.4153 0.7224 0.3331  8 Nd 3.65-3.73, 3 Pm 3.66-3.71, 1 La 3.66
Nd1 0.0824 0.2779 0.6664  5 Nd 3.65-3.72, 6 Pm 3.66-3.73, 1 La 3.67
Nd2 0.5000 0.0000 0.0000  4 Pm 3.65, 6 Nd 3.65-3.70, 2 La 3.71
Nd3 0.2516 0.5001 0.9996  3 Pm 3.65, 7 Nd 3.66-3.73, 2 La 3.71
Nd4 0.3331 0.7767 0.6670  6 Nd 3.66-3.72, 1 La 3.66, 5 Pm 3.67-3.72
Nd5 0.9176 0.7221 0.3336  5 Nd 3.65-3.72, 6 Pm 3.66-3.73, 1 La 3.67
Nd6 0.7484 0.4999 0.0004  3 Pm 3.65, 7 Nd 3.66-3.73, 2 La 3.71
Nd7 0.6669 0.2233 0.3330  6 Nd 3.66-3.72, 1 La 3.66, 5 Pm 3.67-3.72
La1 0.0000 0.0000 0.0000  10 Nd 3.66-3.71, 2 Pm 3.66

Density functional theory data (PBE) for crystalline La3Pm4Nd8 at its relaxed geometry.

Calculated values
VASP energy	-4.472	eV/atom
space-group type	C2/m

Cell lengths 6.9946, 9.5121, 9.5121 Å; angles 87.09, 111.66, 111.66 degrees
Last column: nearest neighbours and their distance in Å.
Fractional positions:
Nd1 0.9884 0.2655 0.2655  3 Pm 3.29-3.51, 1 Nd 3.30, 1 La 3.39
Nd2 0.5000 0.7426 0.2574  3 La 3.18-3.45, 3 Pm 3.37-3.44
Nd3 0.0116 0.7345 0.7345  3 Pm 3.29-3.51, 1 Nd 3.30, 1 La 3.39
Nd4 0.0000 0.6465 0.3535  4 La 3.70-3.99, 2 Pm 3.70, 7 Nd 3.72-3.84
Nd5 0.4833 0.7344 0.7344  3 La 3.28-3.29, 1 Nd 3.30, 2 Pm 3.60
Nd6 0.5000 0.2574 0.7426  3 La 3.18-3.45, 3 Pm 3.37-3.44
Nd7 0.5167 0.2656 0.2656  3 La 3.28-3.29, 1 Nd 3.30, 2 Pm 3.60
Nd8 0.0000 0.3535 0.6465  4 La 3.70-3.99, 2 Pm 3.70, 7 Nd 3.72-3.84
Pm1 0.0000 0.0000 0.5000  4 Nd 3.29-3.44, 2 La 3.50
Pm2 0.0000 0.5000 0.0000  4 Nd 3.29-3.44, 2 La 3.50
Pm3 0.0000 0.0000 0.0000  2 Pm 3.50, 4 Nd 3.60-3.70
Pm4 0.5000 0.0000 0.0000  6 Nd 3.37-3.60, 2 Pm 3.50
La1 0.5000 0.5000 0.0000  4 Nd 3.28-3.45, 2 Pm 3.50
La2 0.5000 0.5000 0.5000  6 Nd 3.18-3.39
La3 0.5000 0.0000 0.5000  4 Nd 3.28-3.45, 2 Pm 3.50

Result set for calculated density: 6.77 6.56 g/cm3, one per record in the order listed.
Result set for size of the total moment: 0.000 0.000 μB per atom, one per record in the order listed.
Result set for formation energy from the elements: 1 31 kJ/mol of atoms, one per record in the order listed.